Here is a crystal of La2Ag2Hg relaxed with PBEsol from Alexandria via LeMat-Bulk. Energies are from meta-GGA SCAN.

Output
M_tot in μB/atom: 0.000
Energy relative to the elements in eV/f.u.: -0.98

a b c (Å): 5.827 5.827 8.140
angles (deg): 90.00 90.00 90.00
Space group I4/mmm (No. 139)
Symmetry-distinct sites (fractional):
La  0.000  0.500  0.250 (multiplicity 4)
Ag  0.000  0.000  0.154 (multiplicity 4)
Hg  0.000  0.000  0.500 (multiplicity 2)